# 1
HoBeP: relaxed, PBE.

abc: 3.6932 3.6932 3.9778
angles: 90.00 90.00 120.00
Space group P-6m2 (No. 187)
Unique sites:
Ho: 0.0000 0.0000 0.0000 (multiplicity 1)
Be: 0.3333 0.6667 0.5000 (multiplicity 1)
P: 0.6667 0.3333 0.5000 (multiplicity 1)

Values from the calculation:
- Final energy: -5.5748 eV per atom
- Crystal system: hexagonal
- Energy of formation: -290 kJ/mol of formula units
- Fermi-level density of states: 0.45 states/eV/cell



# 2
Ho2BePPt6: relaxed, PBE.

abc: 5.581 8.478 7.643
angles: 90.00 90.00 90.00
Space group Pmmn (No. 59, origin choice 2)
Unique sites:
Ho: 0.250 0.009 0.233 (multiplicity 4)
Be: 0.250 0.750 0.755 (multiplicity 2)
P: 0.250 0.250 0.763 (multiplicity 2)
Pt: 0.001 0.750 0.512 (multiplicity 4)
Pt: 0.009 0.750 0.001 (multiplicity 4)
Pt: 0.250 0.002 0.636 (multiplicity 4)

Values from the calculation:
- Final energy: -6.3782 eV per atom
- Crystal system: orthorhombic
- Energy of formation: -892 kJ/mol of formula units
- Fermi-level density of states: 4.89 states/eV/cell



# 3
HoBePPt: relaxed, PBE.

abc: 3.975 3.975 8.743
angles: 90.00 90.00 90.00
Space group P4/nmm (No. 129, origin choice 2)
Unique sites:
Ho: 0.250 0.250 0.186 (multiplicity 2)
Be: 0.250 0.250 0.627 (multiplicity 2)
P: 0.250 0.250 0.865 (multiplicity 2)
Pt: 0.250 0.750 0.500 (multiplicity 2)

Values from the calculation:
- Final energy: -6.0182 eV per atom
- Crystal system: tetragonal
- Energy of formation: -417 kJ/mol of formula units
- Fermi-level density of states: 1.38 states/eV/cell



# 4
Ho3BeP2Rh9: relaxed, PBE.

abc: 6.1809 6.1809 7.5277
angles: 90.00 90.00 120.00
Space group P-3m1 (No. 164)
Unique sites:
Ho: 0.0000 0.0000 0.0000 (multiplicity 1)
Ho: 0.3333 0.6667 0.6589 (multiplicity 2)
Be: 0.0000 0.0000 0.5000 (multiplicity 1)
P: 0.3333 0.6667 0.1795 (multiplicity 2)
Rh: 0.0000 0.5000 0.0000 (multiplicity 3)
Rh: 0.1612 0.3225 0.3344 (multiplicity 6)

Values from the calculation:
- Final energy: -7.0603 eV per atom
- Crystal system: trigonal
- Energy of formation: -1106 kJ/mol of formula units
- Fermi-level density of states: 0.98 states/eV/cell



# 5
HoPaBe2: relaxed, PBE.

abc: 3.3028 3.3028 25.3632
angles: 90.00 90.00 120.00
Space group R-3m (No. 166, hexagonal axes)
Unique sites:
Ho: 0.0000 0.0000 0.0000 (multiplicity 3)
Pa: 0.0000 0.0000 0.5000 (multiplicity 3)
Be: 0.0000 0.0000 0.2505 (multiplicity 6)

Values from the calculation:
- Final energy: -4.8925 eV per atom
- Crystal system: trigonal
- Energy of formation: 189 kJ/mol of formula units
- Fermi-level density of states: 14.37 states/eV/cell



# 6
HoPaBe4: relaxed, PBE.

abc: 7.056 7.056 7.056
angles: 90.00 90.00 90.00
Space group F-43m (No. 216)
Unique sites:
Ho: 0.000 0.000 0.000 (multiplicity 4)
Pa: 0.250 0.250 0.250 (multiplicity 4)
Be: 0.124 0.124 0.624 (multiplicity 16)

Values from the calculation:
- Final energy: -4.6714 eV per atom
- Crystal system: cubic
- Energy of formation: 92 kJ/mol of formula units
- Fermi-level density of states: 18.33 states/eV/cell



# 7
Ho2BePd6: relaxed, PBE.

abc: 8.419 8.419 8.419
angles: 90.00 90.00 90.00
Space group Fm-3m (No. 225)
Unique sites:
Ho: 0.250 0.250 0.250 (multiplicity 8)
Be: 0.000 0.000 0.000 (multiplicity 4)
Pd: 0.000 0.000 0.261 (multiplicity 24)

Values from the calculation:
- Final energy: -5.7966 eV per atom
- Crystal system: cubic
- Energy of formation: -784 kJ/mol of formula units
- Fermi-level density of states: 8.50 states/eV/cell



# 8
Ho2BePd8: relaxed, PBE.

abc: 14.861 4.591 5.879
angles: 90.00 113.22 90.00
Space group C2/m (No. 12)
Unique sites:
Ho: 0.190 0.000 0.190 (multiplicity 4)
Be: 0.000 0.500 0.500 (multiplicity 2)
Pd: 0.000 0.000 0.255 (multiplicity 4)
Pd: 0.122 0.500 0.877 (multiplicity 4)
Pd: 0.123 0.500 0.368 (multiplicity 4)
Pd: 0.179 0.000 0.679 (multiplicity 4)

Values from the calculation:
- Final energy: -5.5886 eV per atom
- Crystal system: monoclinic
- Energy of formation: -680 kJ/mol of formula units
- Fermi-level density of states: 7.21 states/eV/cell



# 9
Ho3Be6Pd20: relaxed, PBE.

abc: 11.969 11.969 11.969
angles: 90.00 90.00 90.00
Space group Fm-3m (No. 225)
Unique sites:
Ho: 0.000 0.000 0.000 (multiplicity 4)
Ho: 0.250 0.250 0.250 (multiplicity 8)
Be: 0.000 0.000 0.272 (multiplicity 24)
Pd: 0.000 0.170 0.170 (multiplicity 48)
Pd: 0.117 0.117 0.383 (multiplicity 32)

Values from the calculation:
- Final energy: -5.4859 eV per atom
- Crystal system: cubic
- Energy of formation: -1847 kJ/mol of formula units
- Fermi-level density of states: 27.47 states/eV/cell



# 10
HoBe9Pd2: relaxed, PBE.

abc: 4.5078 4.5078 14.3714
angles: 90.00 90.00 120.00
Space group P6_3/mmc (No. 194)
Unique sites:
Ho: 0.3333 0.6667 0.2500 (multiplicity 2)
Be: 0.0000 0.0000 0.0000 (multiplicity 2)
Be: 0.0000 0.0000 0.2500 (multiplicity 2)
Be: 0.1678 0.3356 0.6191 (multiplicity 12)
Be: 0.3333 0.6667 0.7500 (multiplicity 2)
Pd: 0.3333 0.6667 0.0417 (multiplicity 4)

Values from the calculation:
- Final energy: -4.3466 eV per atom
- Crystal system: hexagonal
- Energy of formation: -353 kJ/mol of formula units
- Fermi-level density of states: 6.30 states/eV/cell



# 11
Ho4BePd3: relaxed, PBE.

abc: 3.752 4.403 10.587
angles: 90.00 90.00 90.00
Space group Pmm2 (No. 25)
Unique sites:
Ho: 0.000 0.000 0.000 (multiplicity 1)
Ho: 0.000 0.500 0.278 (multiplicity 1)
Ho: 0.500 0.000 0.497 (multiplicity 1)
Ho: 0.500 0.500 0.778 (multiplicity 1)
Be: 0.500 0.000 0.207 (multiplicity 1)
Pd: 0.000 0.000 0.727 (multiplicity 1)
Pd: 0.000 0.500 0.553 (multiplicity 1)
Pd: 0.500 0.500 0.073 (multiplicity 1)

Values from the calculation:
- Final energy: -5.3863 eV per atom
- Crystal system: orthorhombic
- Energy of formation: -528 kJ/mol of formula units
- Fermi-level density of states: 5.10 states/eV/cell



# 12
HoBePd2: relaxed, PBE.

abc: 4.1125 4.1125 14.3163
angles: 90.00 90.00 120.00
Space group R-3m (No. 166, hexagonal axes)
Unique sites:
Ho: 0.0000 0.0000 0.0000 (multiplicity 3)
Be: 0.0000 0.0000 0.5000 (multiplicity 3)
Pd: 0.0000 0.0000 0.2127 (multiplicity 6)

Values from the calculation:
- Final energy: -5.3238 eV per atom
- Crystal system: trigonal
- Energy of formation: -251 kJ/mol of formula units
- Fermi-level density of states: 5.57 states/eV/cell
- E above lowest polymorph: 87.2 meV per atom



# 13
HoBePd6: relaxed, PBE.

abc: 8.8253 8.8253 5.8266
angles: 90.00 90.00 120.00
Space group R-3m (No. 166, hexagonal axes)
Unique sites:
Ho: 0.0000 0.0000 0.0000 (multiplicity 3)
Be: 0.0000 0.0000 0.5000 (multiplicity 3)
Pd: 0.0376 0.5188 0.2792 (multiplicity 18)

Values from the calculation:
- Final energy: -5.2891 eV per atom
- Crystal system: trigonal
- Energy of formation: -275 kJ/mol of formula units
- Fermi-level density of states: 9.58 states/eV/cell



# 14
HoBe2Pd2: relaxed, PBE.

abc: 3.971 3.971 9.581
angles: 90.00 90.00 90.00
Space group I4/mmm (No. 139)
Unique sites:
Ho: 0.000 0.000 0.000 (multiplicity 2)
Be: 0.000 0.000 0.380 (multiplicity 4)
Pd: 0.000 0.500 0.250 (multiplicity 4)

Values from the calculation:
- Final energy: -5.0732 eV per atom
- Crystal system: tetragonal
- Energy of formation: -285 kJ/mol of formula units
- Fermi-level density of states: 4.69 states/eV/cell



# 15
HoBePd2: relaxed, PBE.

abc: 4.095 17.162 3.892
angles: 90.00 90.00 90.00
Space group Cmmm (No. 65)
Unique sites:
Ho: 0.000 0.145 0.000 (multiplicity 4)
Be: 0.000 0.430 0.500 (multiplicity 4)
Pd: 0.000 0.000 0.500 (multiplicity 2)
Pd: 0.000 0.300 0.500 (multiplicity 4)
Pd: 0.000 0.500 0.000 (multiplicity 2)

Values from the calculation:
- Final energy: -5.4110 eV per atom
- Crystal system: orthorhombic
- Energy of formation: -285 kJ/mol of formula units
- Fermi-level density of states: 6.00 states/eV/cell
- E above lowest polymorph: 0.0 meV per atom



# 16
HoBe3Pd10: relaxed, PBE.

abc: 11.858 11.858 11.858
angles: 90.00 90.00 90.00
Space group Fm-3m (No. 225)
Unique sites:
Ho: 0.250 0.250 0.250 (multiplicity 8)
Be: 0.000 0.000 0.228 (multiplicity 24)
Pd: 0.000 0.169 0.331 (multiplicity 48)
Pd: 0.117 0.117 0.117 (multiplicity 32)

Values from the calculation:
- Final energy: -5.3455 eV per atom
- Crystal system: cubic
- Energy of formation: -690 kJ/mol of formula units
- Fermi-level density of states: 60.13 states/eV/cell



# 17
HoBe2Pd7: relaxed, PBE.

abc: 7.238 10.924 4.246
angles: 90.00 90.00 90.00
Space group Cmmm (No. 65)
Unique sites:
Ho: 0.000 0.000 0.000 (multiplicity 2)
Be: 0.000 0.289 0.500 (multiplicity 4)
Pd: 0.000 0.328 0.000 (multiplicity 4)
Pd: 0.000 0.500 0.500 (multiplicity 2)
Pd: 0.192 0.131 0.500 (multiplicity 8)

Values from the calculation:
- Final energy: -5.1493 eV per atom
- Crystal system: orthorhombic
- Energy of formation: -300 kJ/mol of formula units
- Fermi-level density of states: 7.18 states/eV/cell



# 18
HoBePd: relaxed, PBE.

abc: 4.0513 4.0513 3.8298
angles: 90.00 90.00 120.00
Space group P-6m2 (No. 187)
Unique sites:
Ho: 0.0000 0.0000 0.0000 (multiplicity 1)
Be: 0.3333 0.6667 0.5000 (multiplicity 1)
Pd: 0.6667 0.3333 0.5000 (multiplicity 1)

Values from the calculation:
- Final energy: -5.0463 eV per atom
- Crystal system: hexagonal
- Energy of formation: -158 kJ/mol of formula units
- Fermi-level density of states: 1.96 states/eV/cell



# 19
HoBe17Pd: relaxed, PBE.

abc: 7.5373 7.5373 10.9133
angles: 90.00 90.00 120.00
Space group R3m (No. 160, hexagonal axes)
Unique sites:
Ho: 0.0000 0.0000 0.0000 (multiplicity 3)
Be: 0.0000 0.0000 0.2493 (multiplicity 3)
Be: 0.0000 0.0000 0.4440 (multiplicity 3)
Be: 0.0064 0.2941 0.3447 (multiplicity 18)
Be: 0.0064 0.5032 0.5000 (multiplicity 9)
Be: 0.0135 0.5067 0.8405 (multiplicity 9)
Be: 0.0182 0.5091 0.1939 (multiplicity 9)
Pd: 0.0000 0.0000 0.6731 (multiplicity 3)

Values from the calculation:
- Final energy: -3.9555 eV per atom
- Crystal system: trigonal
- Energy of formation: -197 kJ/mol of formula units
- Fermi-level density of states: 11.03 states/eV/cell



# 20
Ho2Be2Pd5: relaxed, PBE.

abc: 4.041 4.041 8.930
angles: 90.00 90.00 90.00
Space group P4/mmm (No. 123)
Unique sites:
Ho: 0.000 0.000 0.000 (multiplicity 1)
Ho: 0.000 0.000 0.500 (multiplicity 1)
Be: 0.500 0.500 0.133 (multiplicity 2)
Pd: 0.000 0.500 0.257 (multiplicity 4)
Pd: 0.500 0.500 0.500 (multiplicity 1)

Values from the calculation:
- Final energy: -5.4843 eV per atom
- Crystal system: tetragonal
- Energy of formation: -655 kJ/mol of formula units
- Fermi-level density of states: 3.74 states/eV/cell